Entry from Alexandria via LeMat-Bulk: crystalline LaWC2 at its relaxed geometry (PBE).

Fermi-level density of states = 2.1 states/eV/f.u.
size of the total moment = 0.0 μB/f.u.
E_form = 39.3 kJ/mol of formula units
E = -107.763 eV for the cell shown

Unit cell a=3.273 b=3.273 c=17.864 alpha=90.00 beta=90.00 gamma=120.00
Positions (direct):
La (0.000, 0.000, 0.000)
La (0.333, 0.667, 0.667)
La (0.667, 0.333, 0.333)
W (0.000, 0.000, 0.500)
W (0.333, 0.667, 0.167)
W (0.667, 0.333, 0.833)
C (0.000, 0.000, 0.231)
C (0.000, 0.000, 0.769)
C (0.333, 0.667, 0.435)
C (0.333, 0.667, 0.898)
C (0.667, 0.333, 0.102)
C (0.667, 0.333, 0.565)